(1)
The following is a PBE-GGA calculation of a relaxed structure of CrIr2Br, from Alexandria via LeMat-Bulk.

Summary:
**Formation energy without anion corrections**: 0.578 eV per atom
**Space group**: Imm2
**Fermi-level density of states**: 0.81 states/eV per atom
**E above lowest polymorph**: 169 meV per atom

a = 7.0529 Å, b = 7.0529 Å, c = 7.0529 Å
α = 156.60°, β = 145.13°, γ = 42.42°
Closest atoms and distances in Å follow each position.
Fractional coordinates of all 4 atoms:
Cr (0.0000, 0.0000, 0.0000)  2 Br 2.48, 6 Ir 2.57-2.69
Ir (0.4344, 0.4344, 0.0000)  2 Ir 2.46, 4 Cr 2.69
Ir (0.8380, 0.3380, 0.5000)  2 Ir 2.46, 2 Cr 2.57
Br (0.1544, 0.6544, 0.5000)  2 Cr 2.48

---

(2)
The following is a PBE-GGA calculation of a relaxed structure of LaRuSe2, from Alexandria via LeMat-Bulk.

Summary:
**Formation energy without anion corrections**: -0.151 eV per atom
**Space group**: F-43m
**Fermi-level density of states**: 1.06 states/eV per atom
**E above lowest polymorph**: 777 meV per atom

a = 4.9513 Å, b = 4.9513 Å, c = 4.9513 Å
α = 60.00°, β = 60.00°, γ = 60.00°
Closest atoms and distances in Å follow each position.
Fractional coordinates of all 4 atoms:
La (0.0000, 0.0000, 0.0000)  4 Se 3.03, 4 Ru 3.03
Ru (0.2500, 0.2500, 0.2500)  4 La 3.03, 4 Se 3.03
Se (0.5000, 0.5000, 0.5000)  4 Se 3.03, 4 Ru 3.03
Se (0.7500, 0.7500, 0.7500)  4 La 3.03, 4 Se 3.03

---

(3)
The following is a PBE-GGA calculation of a relaxed structure of ZnAg2Pb2, from Alexandria via LeMat-Bulk.

Summary:
**Formation energy from the elements**: 0.214 eV per atom
**Space group**: I4/mmm
**Fermi-level density of states**: 0.40 states/eV per atom
**E above lowest polymorph**: 91 meV per atom

a = 8.7411 Å, b = 8.7411 Å, c = 8.7411 Å
α = 154.48°, β = 154.48°, γ = 36.40°
Closest atoms and distances in Å follow each position.
Fractional coordinates of all 5 atoms:
Zn (0.0000, 0.0000, 0.0000)  8 Pb 3.20
Ag (0.2500, 0.7500, 0.5000)  4 Ag 2.73
Ag (0.7500, 0.2500, 0.5000)  4 Ag 2.73
Pb (0.3991, 0.3991, 0.0000)  4 Ag 3.14, 4 Zn 3.20, 1 Pb 3.35
Pb (0.6009, 0.6009, 0.0000)  4 Ag 3.14, 4 Zn 3.20, 1 Pb 3.35

---

(4)
The following is a PBE-GGA calculation of a relaxed structure of LiCeSi2Pd2, from Alexandria via LeMat-Bulk.

Summary:
**Formation energy without anion corrections**: -0.775 eV per atom
**Space group**: P-3m1
**Fermi-level density of states**: 0.95 states/eV per atom

a = 4.1733 Å, b = 4.1733 Å, c = 6.8263 Å
α = 90.00°, β = 90.00°, γ = 120.00°
Closest atoms and distances in Å follow each position.
Fractional coordinates of all 6 atoms:
Li (0.0000, 0.0000, 0.0000)  6 Pd 2.59, 6 Si 2.86
Ce (0.0000, 0.0000, 0.5000)  6 Si 3.05, 2 Li 3.41
Si (0.3333, 0.6667, 0.7738)  4 Pd 2.48-2.50
Si (0.6667, 0.3333, 0.2262)  4 Pd 2.48-2.50
Pd (0.3333, 0.6667, 0.1400)  4 Si 2.48-2.50, 3 Li 2.59
Pd (0.6667, 0.3333, 0.8600)  4 Si 2.48-2.50, 3 Li 2.59

---

(5)
The following is a PBE-GGA calculation of a relaxed structure of KPmPaO4, from Alexandria via LeMat-Bulk.

Summary:
**Formation energy without anion corrections**: -2.985 eV per atom
**Space group**: Imma
**Fermi-level density of states**: 0.56 states/eV per atom

a = 7.2872 Å, b = 7.2872 Å, c = 7.2872 Å
α = 121.26°, β = 120.59°, γ = 88.41°
Closest atoms and distances in Å follow each position.
Fractional coordinates of all 14 atoms:
K (0.3807, 0.1307, 0.2500)  4 O 2.64-2.67
K (0.6193, 0.8693, 0.7500)  4 O 2.64-2.67
Pm (0.0000, 0.0000, 0.5000)  6 O 2.42-2.45
Pm (0.0000, 0.5000, 0.0000)  6 O 2.42-2.45
Pa (0.0000, 0.5000, 0.5000)  6 O 2.20-2.30
Pa (0.5000, 0.5000, 0.0000)  6 O 2.20-2.30
O (0.1772, 0.7094, 0.4678)  1 Pa 2.20, 2 Pm 2.42
O (0.2313, 0.2835, 0.5522)  2 Pa 2.30, 1 Pm 2.45
O (0.2313, 0.6791, 0.9478)  2 Pa 2.30, 1 Pm 2.45
O (0.2585, 0.2906, 0.9678)  1 Pa 2.20, 2 Pm 2.42
O (0.7415, 0.7094, 0.0322)  1 Pa 2.20, 2 Pm 2.42
O (0.7687, 0.3209, 0.0522)  2 Pa 2.30, 1 Pm 2.45
O (0.7687, 0.7165, 0.4478)  2 Pa 2.30, 1 Pm 2.45
O (0.8228, 0.2906, 0.5322)  1 Pa 2.20, 2 Pm 2.42

---

(6)
The following is a PBE-GGA calculation of a relaxed structure of CrB, from Alexandria via LeMat-Bulk.

Summary:
**Formation energy from the elements**: 1.084 eV per atom
**Space group**: I-43m
**Fermi-level density of states**: 0.36 states/eV per atom

a = 5.4405 Å, b = 5.4405 Å, c = 5.4405 Å
α = 109.47°, β = 109.47°, γ = 109.47°
Closest atoms and distances in Å follow each position.
Fractional coordinates of all 8 atoms:
Cr (0.0000, 0.0000, 0.3118)  4 B 1.98-2.01
Cr (0.0000, 0.3118, 0.0000)  4 B 1.98-2.01
Cr (0.3118, 0.0000, 0.0000)  4 B 1.98-2.01
Cr (0.6882, 0.6882, 0.6882)  4 B 1.98-2.01
B (0.0000, 0.0000, 0.6817)  4 Cr 1.98-2.01
B (0.0000, 0.6817, 0.0000)  4 Cr 1.98-2.01
B (0.3183, 0.3183, 0.3183)  4 Cr 1.98-2.01
B (0.6817, 0.0000, 0.0000)  4 Cr 1.98-2.01

---

(7)
The following is a PBE-GGA calculation of a relaxed structure of TaSnSe2I, from Alexandria via LeMat-Bulk.

Summary:
**Formation energy without anion corrections**: 0.018 eV per atom
**Space group**: P4/mmm
**Fermi-level density of states**: 0.99 states/eV per atom

a = 5.0171 Å, b = 5.0171 Å, c = 5.7242 Å
α = 90.00°, β = 90.00°, γ = 90.00°
Closest atoms and distances in Å follow each position.
Fractional coordinates of all 5 atoms:
Ta (0.0000, 0.0000, 0.0000)  4 Se 2.51
Sn (0.5000, 0.5000, 0.5000)  4 I 3.55, 8 Se 3.81
Se (0.0000, 0.5000, 0.0000)  2 Ta 2.51
Se (0.5000, 0.0000, 0.0000)  2 Ta 2.51
I (0.0000, 0.0000, 0.5000)  2 Ta 2.86

---

(8)
The following is a PBE-GGA calculation of a relaxed structure of BeVAg, from Alexandria via LeMat-Bulk.

Summary:
**Formation energy from the elements**: 0.142 eV per atom
**Space group**: P1
**Fermi-level density of states**: 0.46 states/eV per atom
**E above lowest polymorph**: 34 meV per atom

a = 2.6661 Å, b = 2.6663 Å, c = 11.0655 Å
α = 90.01°, β = 90.01°, γ = 90.00°
Closest atoms and distances in Å follow each position.
Fractional coordinates of all 6 atoms:
Be (0.0000, 0.0000, 0.0000)  4 Be 2.18-2.19
Be (0.4991, 0.5001, 0.1000)  4 Be 2.18-2.19
V (0.5011, 0.4994, 0.8527)  5 Be 2.49-2.74, 8 V 2.67-2.79
V (0.9859, 0.9980, 0.6698)  8 V 2.67-2.79, 4 Ag 2.90-2.91
Ag (0.4872, 0.4982, 0.4698)  4 Ag 2.67, 4 V 2.90-2.91
Ag (0.9966, 0.9997, 0.2556)  5 Be 2.55-2.83, 4 Ag 2.67

---

(9)
The following is a PBE-GGA calculation of a relaxed structure of YTm3S4, from Alexandria via LeMat-Bulk.

Summary:
**Formation energy without anion corrections**: -1.931 eV per atom
**Space group**: Pm-3m
**Fermi-level density of states**: 0.58 states/eV per atom
**E above lowest polymorph**: 12 meV per atom

a = 5.4611 Å, b = 5.4611 Å, c = 5.4611 Å
α = 90.00°, β = 90.00°, γ = 90.00°
Closest atoms and distances in Å follow each position.
Fractional coordinates of all 8 atoms:
Y (0.0000, 0.0000, 0.0000)  6 S 2.73
Tm (0.0000, 0.5000, 0.5000)  6 S 2.73
Tm (0.5000, 0.0000, 0.5000)  6 S 2.73
Tm (0.5000, 0.5000, 0.0000)  6 S 2.73
S (0.0000, 0.0000, 0.5000)  4 Tm 2.73, 2 Y 2.73
S (0.0000, 0.5000, 0.0000)  4 Tm 2.73, 2 Y 2.73
S (0.5000, 0.0000, 0.0000)  4 Tm 2.73, 2 Y 2.73
S (0.5000, 0.5000, 0.5000)  6 Tm 2.73

---

(10)
The following is a PBE-GGA calculation of a relaxed structure of ZnTe2N2, from Alexandria via LeMat-Bulk.

Summary:
**Formation energy without anion corrections**: 1.458 eV per atom
**Space group**: P4/mmm
**Fermi-level density of states**: 0.55 states/eV per atom
**E above lowest polymorph**: 211 meV per atom

a = 4.6475 Å, b = 4.6475 Å, c = 3.8569 Å
α = 90.00°, β = 90.00°, γ = 90.00°
Closest atoms and distances in Å follow each position.
Fractional coordinates of all 5 atoms:
Zn (0.0000, 0.0000, 0.0000)  8 Te 3.02, 4 N 3.29
Te (0.0000, 0.5000, 0.5000)  2 N 2.32
Te (0.5000, 0.0000, 0.5000)  2 N 2.32
N (0.5000, 0.5000, 0.0000)  2 N 1.93
N (0.5000, 0.5000, 0.5000)  2 N 1.93

---

(11)
The following is a PBE-GGA calculation of a relaxed structure of Al2GaPt2, from Alexandria via LeMat-Bulk.

Summary:
**Formation energy from the elements**: -0.753 eV per atom
**Space group**: P4/mbm
**Fermi-level density of states**: 0.35 states/eV per atom
**E above lowest polymorph**: 0 meV per atom

a = 7.4982 Å, b = 7.4982 Å, c = 2.8376 Å
α = 90.00°, β = 90.00°, γ = 90.00°
Closest atoms and distances in Å follow each position.
Fractional coordinates of all 10 atoms:
Al (0.1523, 0.3477, 0.0000)  6 Pt 2.58-2.64, 2 Al 2.84
Al (0.3477, 0.8477, 0.0000)  6 Pt 2.58-2.64, 2 Al 2.84
Al (0.6523, 0.1523, 0.0000)  6 Pt 2.58-2.64, 2 Al 2.84
Al (0.8477, 0.6523, 0.0000)  6 Pt 2.58-2.64, 2 Al 2.84
Ga (0.0000, 0.0000, 0.5000)  2 Ga 2.84, 4 Pt 2.88
Ga (0.5000, 0.5000, 0.5000)  2 Ga 2.84, 4 Pt 2.88
Pt (0.1439, 0.6439, 0.5000)  6 Al 2.58-2.64, 2 Pt 2.84, 2 Ga 2.88
Pt (0.3561, 0.1439, 0.5000)  6 Al 2.58-2.64, 2 Pt 2.84, 2 Ga 2.88
Pt (0.6439, 0.8561, 0.5000)  6 Al 2.58-2.64, 2 Pt 2.84, 2 Ga 2.88
Pt (0.8561, 0.3561, 0.5000)  6 Al 2.58-2.64, 2 Pt 2.84, 2 Ga 2.88

---

Magnetization across the listed records, respectively: 1.9 1.4 0.0 0.5 2.0 3.9 0.0 0.0 0.0 0.0 0.0 Bohr magnetons per cell.